(1)
The following is a PBE+U calculation of an optimized crystal structure of AcUV2O8, from Alexandria.

Properties
Uncorrected energy   -8.453 eV/atom
Magnetic moment   3.01 μB/f.u.

Lattice parameters (Å, degrees): 4.989 4.994 7.564 82.03 82.05 79.53
Space group P-1 (No. 2)
Symmetry-distinct sites (fractional):
Ac1 0.000 0.000 0.000
U1 0.000 0.000 0.500
V1 0.454 0.454 0.207
O1 0.218 0.767 0.272
O2 0.232 0.781 0.729
O3 0.253 0.251 0.429
O4 0.338 0.336 0.008

***

(2)
The following is a PBE+U calculation of an optimized crystal structure of Rb2TlNiF6, from Alexandria.

Properties
Uncorrected energy   -4.103 eV/atom
Magnetic moment   1.14 μB/f.u.

Lattice parameters (Å, degrees): 8.845 8.845 8.845 90.00 90.00 90.00
Space group Fm-3m (No. 225)
Symmetry-distinct sites (fractional):
Rb1 0.250 0.250 0.250
Tl1 0.000 0.000 0.000
Ni1 0.000 0.000 0.500
F1 0.000 0.000 0.271

***

Question: The highest uncorrected energy belongs to which entry?
Answer: Rb2TlNiF6